# 1
La3Os SCAN single point on PBEsol structure; electronic total energy = -201.3 eV/cell; energy of formation from the pure elements = -0.020 eV per atom; space group = P4/mmm, No. 123
1.0
3.483 0.000 0.000
0.000 3.483 0.000
0.000 0.000 9.604
La Os
3 1
direct
0.000 0.000 0.000
0.500 0.500 0.319
0.500 0.500 0.681
0.000 0.000 0.500

# 2
La4Os SCAN single point on PBEsol structure; electronic total energy = -244.1 eV/cell; energy of formation from the pure elements = 0.039 eV per atom; space group = Im-3m, No. 229
1.0
-3.410 3.410 3.410
3.410 -3.410 3.410
3.410 3.410 -3.410
La Os
4 1
direct
0.000 0.000 0.500
0.000 0.500 0.000
0.500 0.000 0.000
0.500 0.500 0.500
0.000 0.000 0.000

# 3
La3Os2 SCAN single point on PBEsol structure; electronic total energy = -273.0 eV/cell; energy of formation from the pure elements = 0.023 eV per atom; space group = R-3m, No. 166
1.0
2.362 1.364 6.017
-2.362 1.364 6.017
0.000 -2.727 6.017
La Os
3 2
direct
0.000 0.000 0.000
0.211 0.211 0.211
0.789 0.789 0.789
0.393 0.393 0.393
0.607 0.607 0.607

# 4
LaOs SCAN single point on PBEsol structure; electronic total energy = -461.4 eV/cell; energy of formation from the pure elements = -0.188 eV per atom; space group = Pnma, No. 62
1.0
8.336 0.000 0.000
0.000 4.419 0.000
0.000 0.000 5.508
La Os
4 4
direct
0.175 0.250 0.077
0.325 0.750 0.577
0.675 0.250 0.423
0.825 0.750 0.923
0.027 0.250 0.575
0.473 0.750 0.075
0.527 0.250 0.925
0.973 0.750 0.425

# 5
LaOs SCAN single point on PBEsol structure; electronic total energy = -230.6 eV/cell; energy of formation from the pure elements = -0.150 eV per atom; space group = R-3m, No. 166
1.0
2.133 1.232 6.399
-2.133 1.232 6.399
0.000 -2.463 6.399
La Os
2 2
direct
0.100 0.100 0.100
0.900 0.900 0.900
0.323 0.323 0.323
0.677 0.677 0.677

# 6
LaPOs2 SCAN single point on PBEsol structure; electronic total energy = -194.6 eV/cell; energy of formation from the pure elements = 0.667 eV per atom; space group = I4/mmm, No. 139
1.0
-2.092 2.092 3.845
2.092 -2.092 3.845
2.092 2.092 -3.845
La P Os
1 1 2
direct
0.000 0.000 0.000
0.500 0.500 0.000
0.250 0.750 0.500
0.750 0.250 0.500

# 7
LaPOs2 SCAN single point on PBEsol structure; electronic total energy = -196.0 eV/cell; energy of formation from the pure elements = 0.304 eV per atom; space group = Imm2, No. 44
1.0
-1.510 2.508 4.592
1.510 -2.508 4.592
1.510 2.508 -4.592
La P Os
1 1 2
direct
0.000 0.000 0.000
0.269 0.769 0.500
0.468 0.468 0.000
0.706 0.206 0.500

# 8
LaPOs2 SCAN single point on PBEsol structure; electronic total energy = -195.2 eV/cell; energy of formation from the pure elements = 0.523 eV per atom; space group = Cmmm, No. 65
1.0
1.538 -2.509 0.000
1.538 2.509 0.000
0.000 0.000 8.678
La P Os
1 1 2
direct
0.000 0.000 0.000
0.000 0.000 0.500
0.500 0.500 0.303
0.500 0.500 0.697

Q: electronic total energy of number 3 (La3Os2)?
A: -273.0 eV/cell